[1]
Compound: KSmGeSe4
Source: Alexandria
Functional: GGA-PBEsol
Structure: optimized geometry

Cell and atoms, written as extended XYZ:
```
14
Lattice="6.743 0.000 0.000 0.000 6.947 0.000 -2.772 0.000 8.497" Properties=species:S:1:pos:R:3 pbc="T T T"
K 1.520 0.000 0.516
K 2.452 3.473 7.981
Sm 0.014 6.925 4.690
Sm 3.958 3.452 3.807
Ge 0.589 3.679 2.750
Ge 3.383 0.206 5.748
Se -0.745 1.748 2.450
Se -1.754 1.898 6.181
Se 2.419 3.704 1.313
Se 1.315 4.163 4.942
Se 2.657 0.690 3.555
Se 1.552 0.230 7.185
Se 5.725 5.371 2.316
Se 4.717 5.221 6.047
```

Density of states at the Fermi level in states/eV per cell: 0.00
Uncorrected formation energy in meV/atom: -1122
Mass density in g/cm³: 4.82
Crystal system: monoclinic
Space group: P2_1, No. 4

[2]
Compound: ZrFe2Tc
Source: Alexandria
Functional: GGA-PBEsol
Structure: optimized geometry

Cell and atoms, written as extended XYZ:
```
4
Lattice="4.235 0.000 0.000 0.000 4.235 0.000 0.000 0.000 3.091" Properties=species:S:1:pos:R:3 pbc="T T T"
Zr 0.000 0.000 0.000
Fe 0.000 2.117 1.546
Fe 2.117 0.000 1.546
Tc 2.117 2.117 0.000
```

Density of states at the Fermi level in states/eV per cell: 5.04
Energy above the lowest structure with this stoichiometry in meV/atom: 0
Formation energy from the elements in eV per atom: 0.034
Mass density in g/cm³: 9.01
Crystal system: tetragonal
Space group: P4/mmm, No. 123

[3]
Compound: Li2MnBe
Source: Alexandria
Functional: GGA-PBEsol
Structure: optimized geometry

Cell and atoms, written as extended XYZ:
```
4
Lattice="1.489 -1.806 0.000 1.489 1.806 0.000 0.000 0.000 8.459" Properties=species:S:1:pos:R:3 pbc="T T T"
Li 0.000 0.000 0.000
Li 1.489 0.000 2.547
Mn 0.000 0.000 4.676
Be 1.489 0.000 6.396
```

Density of states at the Fermi level in states/eV per cell: 2.30
Formation energy from the elements in eV per atom: 0.230
Mass density in g/cm³: 2.84
Crystal system: orthorhombic
Space group: Cmm2, No. 35

[4]
Compound: NaTcBMo2
Source: Alexandria
Functional: GGA-PBEsol
Structure: optimized geometry

Cell and atoms, written as extended XYZ:
```
5
Lattice="4.535 0.000 0.000 0.000 4.535 0.000 0.000 0.000 5.057" Properties=species:S:1:pos:R:3 pbc="T T T"
Na 0.000 0.000 0.000
Tc 0.000 0.000 2.528
B 2.267 2.267 0.000
Mo 0.000 2.267 2.528
Mo 2.267 0.000 2.528
```

Density of states at the Fermi level in states/eV per cell: 6.44
Formation energy from the elements in eV per atom: 2.459
Mass density in g/cm³: 5.17
Crystal system: tetragonal
Space group: P4/mmm, No. 123